[1]
A geometry-optimized KSr2Cd structure. Source: Alexandria, functional PBE.

Computed properties:
energy	-0.05122	hartree per atom
N(E_F)	4.1	states/eV/f.u.
magnetization	0.0	μB per formula unit
energy of formation	-0.05	eV/atom

POSCAR file:
```
KSr2Cd
1.0
12.340 0.000 0.000
11.540 4.370 0.000
11.540 2.112 3.826
Cd Sr K
1 2 1
direct
0.250 0.250 0.250
0.522 0.522 0.522
0.978 0.978 0.978
0.750 0.750 0.750
```

[2]
A geometry-optimized KSrCd2 structure. Source: Alexandria, functional PBE.

Computed properties:
energy	-0.03990	hartree per atom
N(E_F)	3.4	states/eV/f.u.
magnetization	0.0	μB per formula unit
energy of formation	0.07	eV/atom
E above lowest polymorph	213	meV/atom

POSCAR file:
```
KSrCd2
1.0
-1.166 -8.843 2.299
8.864 -0.533 2.446
2.944 -3.658 5.875
Cd K Sr
4 2 2
direct
0.375 0.371 0.750
0.629 0.125 0.250
0.875 0.879 0.750
0.121 0.625 0.250
0.500 0.500 0.000
0.250 0.750 0.500
0.750 0.250 0.500
0.000 0.000 0.000
```

[3]
A geometry-optimized K2SrCd structure. Source: Alexandria, functional PBE.

Computed properties:
energy	-0.04210	hartree per atom
N(E_F)	3.2	states/eV/f.u.
magnetization	0.0	μB per formula unit
energy of formation	0.05	eV/atom

POSCAR file:
```
K2SrCd
1.0
-6.512 -3.047 2.526
0.002 -4.939 5.803
2.862 6.846 -1.736
K Sr Cd
2 1 1
direct
0.500 0.500 0.000
0.000 0.000 0.000
0.250 0.750 0.500
0.750 0.250 0.500
```